1.
# BaZnCdGa2

A relaxed structure of BaZnCdGa2 (PBE-GGA, the Alexandria database).

Lattice parameters (Å, degrees): 4.6763 4.6763 11.1139 90.00 90.00 90.00
Space group I-4m2 (No. 119)
Inequivalent atoms, fractional coordinates:
Ba (0.0000, 0.0000, 0.0000) (multiplicity 2)
Zn (0.0000, 0.5000, 0.2500) (multiplicity 2)
Cd (0.0000, 0.5000, 0.7500) (multiplicity 2)
Ga (0.0000, 0.0000, 0.3826) (multiplicity 4)

Output
Its calculated formation energy is -333 meV per atom. The density of states at the Fermi level is 0.552 states/eV per atom. Its calculated volume is 243.0 Å³ per cell.

2.
# NaBeBi3

A relaxed structure of NaBeBi3 (PBE-GGA, the Alexandria database).

Lattice parameters (Å, degrees): 5.4720 5.4720 5.4720 90.00 90.00 90.00
Space group Pm-3m (No. 221)
Inequivalent atoms, fractional coordinates:
Na (0.0000, 0.0000, 0.0000) (multiplicity 1)
Be (0.5000, 0.5000, 0.5000) (multiplicity 1)
Bi (0.0000, 0.0000, 0.5000) (multiplicity 3)

Output
Its calculated formation energy is 1126 meV per atom. The density of states at the Fermi level is 0.576 states/eV per atom. Its calculated volume is 163.8 Å³ per cell.

3.
# InCu2W

A relaxed structure of InCu2W (PBE-GGA, the Alexandria database).

Lattice parameters (Å, degrees): 2.8918 2.8918 7.2886 90.00 90.00 90.00
Space group P4mm (No. 99)
Inequivalent atoms, fractional coordinates:
In (0.0000, 0.0000, 0.0000) (multiplicity 1)
Cu (0.0000, 0.0000, 0.5359) (multiplicity 1)
Cu (0.5000, 0.5000, 0.7347) (multiplicity 1)
W (0.5000, 0.5000, 0.3052) (multiplicity 1)

Output
Its calculated formation energy is 305 meV per atom. The density of states at the Fermi level is 0.414 states/eV per atom. Its calculated volume is 61.0 Å³ per cell.

4.
# Fe2Ni17

A relaxed structure of Fe2Ni17 (PBE-GGA, the Alexandria database).

Lattice parameters (Å, degrees): 7.9943 7.9943 12.1449 90.00 90.00 120.00
Space group R-3m (No. 166, hexagonal axes)
Inequivalent atoms, fractional coordinates:
Fe (0.0000, 0.0000, 0.1932) (multiplicity 6)
Ni (0.0000, 0.0000, 0.4023) (multiplicity 6)
Ni (0.0000, 0.3137, 0.5000) (multiplicity 18)
Ni (0.0000, 0.5000, 0.0000) (multiplicity 9)
Ni (0.0049, 0.5025, 0.6557) (multiplicity 18)

Output
Its calculated formation energy is 185 meV per atom. The density of states at the Fermi level is 1.369 states/eV per atom. Its calculated volume is 672.2 Å³ per cell.